SrGeH2Os | PBE | relaxed

ρ	6.24	Mg/m³
space group	P4/mmm, No. 123
E	-0.1411	hartree per atom
total moment	1.00	μB/f.u.
crystal system	tetragonal

Structure (extended XYZ):
```
5
Lattice="-1.260 -2.045 -2.968 2.856 -5.238 2.396 -3.180 -0.849 1.935" Properties=species:S:1:pos:R:3 pbc="T T T"
Sr 0.000 0.000 0.000
Ge -0.792 -4.066 0.682
Os 1.428 -2.619 1.198
H -0.630 -1.022 -1.484
H -1.590 -0.424 0.967
```